No. 1
A relaxed structure of Ba2Ta, computed with GGA-PBE.

Results
The value obtained for the volume is 243 Å³/cell. The value obtained for the density of states at the Fermi level is 4.12 states/eV/f.u. For the energy of formation from the pure elements, the calculation gives 1.243 eV per atom. The calculation puts the relative energy among the computed polymorphs at 606 meV per atom.

abc: 8.3458 8.4510 3.4486
angles: 90.00 90.00 90.00
With the nearest neighbours (Å) after each atom.
Space group Pnnm (No. 58)
Inequivalent atoms, fractional coordinates:
Ba 0.2047 0.1795 0.0000  3 Ta 3.20-3.37, 2 Ba 3.45
Ta 0.0000 0.5000 0.0000  6 Ba 3.20-3.37, 2 Ta 3.45

---

No. 2
A relaxed structure of BaTa3, computed with GGA-PBE.

Results
The value obtained for the volume is 172 Å³/cell. The value obtained for the density of states at the Fermi level is 3.96 states/eV/f.u. For the energy of formation from the pure elements, the calculation gives 1.289 eV per atom. The calculation puts the relative energy among the computed polymorphs at 683 meV per atom.

abc: 5.5613 5.5613 5.5613
angles: 90.00 90.00 90.00
With the nearest neighbours (Å) after each atom.
Space group Pm-3n (No. 223)
Inequivalent atoms, fractional coordinates:
Ba 0.0000 0.0000 0.0000  12 Ta 3.11
Ta 0.0000 0.2500 0.5000  2 Ta 2.78, 4 Ba 3.11

---

No. 3
A relaxed structure of BaTa8, computed with GGA-PBE.

Results
The value obtained for the volume is 362 Å³/cell. The value obtained for the density of states at the Fermi level is 12.08 states/eV/f.u. For the energy of formation from the pure elements, the calculation gives 0.658 eV per atom.

abc: 8.7082 8.7082 4.7688
angles: 90.00 90.00 90.00
With the nearest neighbours (Å) after each atom.
Space group I4/mmm (No. 139)
Inequivalent atoms, fractional coordinates:
Ba 0.0000 0.0000 0.0000  12 Ta 3.00-3.23
Ta 0.0000 0.3445 0.0000  3 Ta 2.71-2.81, 1 Ba 3.00
Ta 0.1775 0.1775 0.5000  6 Ta 2.81-3.09

---

No. 4
A relaxed structure of BaTa3, computed with GGA-PBE.

Results
The value obtained for the volume is 137 Å³/cell. The value obtained for the density of states at the Fermi level is 7.89 states/eV/f.u. For the energy of formation from the pure elements, the calculation gives 4.095 eV per atom. The calculation puts the relative energy among the computed polymorphs at 3489 meV per atom.

abc: 5.1547 5.1547 5.1547
angles: 90.00 90.00 90.00
With the nearest neighbours (Å) after each atom.
Space group Pm-3m (No. 221)
Inequivalent atoms, fractional coordinates:
Ba 0.0000 0.0000 0.0000  6 Ta 2.58
Ta 0.0000 0.0000 0.5000  2 Ba 2.58

---

No. 5
A relaxed structure of Ba2Ta, computed with GGA-PBE.

Results
The value obtained for the volume is 535 Å³/cell. The value obtained for the density of states at the Fermi level is 3.79 states/eV/f.u. For the energy of formation from the pure elements, the calculation gives 0.730 eV per atom. The calculation puts the relative energy among the computed polymorphs at 93 meV per atom.

abc: 3.7330 30.8346 4.6492
angles: 90.00 90.00 90.00
With the nearest neighbours (Å) after each atom.
Space group Cmcm (No. 63)
Inequivalent atoms, fractional coordinates:
Ba 0.0000 0.0820 0.2500  6 Ta 3.53-3.63, 2 Ba 3.73
Ba 0.0000 0.1969 0.7500  2 Ba 3.73
Ta 0.0000 0.4850 0.2500  2 Ta 2.50

---

No. 6
A relaxed structure of Ba2TaTc, computed with GGA-PBE.

Results
The value obtained for the volume is 211 Å³/cell. The value obtained for the density of states at the Fermi level is 4.15 states/eV/f.u. For the energy of formation from the pure elements, the calculation gives 1.363 eV per atom. The calculation puts the relative energy among the computed polymorphs at 961 meV per atom.

abc: 6.0729 11.2821 3.0858
angles: 90.00 90.08 90.00
With the nearest neighbours (Å) after each atom.
Space group C2/m (No. 12)
Inequivalent atoms, fractional coordinates:
Ba 0.2500 0.2500 0.0000  4 Ba 3.04-3.09
Ta 0.0000 0.0000 0.5000  2 Tc 3.04, 2 Ta 3.09
Tc 0.0000 0.5000 0.5000  2 Ta 3.04, 2 Tc 3.09

---

No. 7
A relaxed structure of BaTa2Tc, computed with GGA-PBE.

Results
The value obtained for the volume is 91 Å³/cell. The value obtained for the density of states at the Fermi level is 4.31 states/eV/f.u. For the energy of formation from the pure elements, the calculation gives 0.473 eV per atom. The calculation puts the relative energy among the computed polymorphs at 0 meV per atom.

abc: 3.2487 3.2505 8.5720
angles: 90.00 90.14 90.00
With the nearest neighbours (Å) after each atom.
Space group P2/m (No. 10)
Inequivalent atoms, fractional coordinates:
Ba 0.0000 0.0000 0.0000  4 Ba 3.25, 4 Ta 3.64
Ta 0.4987 0.5000 0.3297  4 Tc 2.72, 1 Ta 2.92
Tc 0.0000 0.0000 0.5000  8 Ta 2.72

---

No. 8
A relaxed structure of BaTa2Tc, computed with GGA-PBE.

Results
The value obtained for the volume is 492 Å³/cell. The value obtained for the density of states at the Fermi level is 5.59 states/eV/f.u. For the energy of formation from the pure elements, the calculation gives 1.272 eV per atom. The calculation puts the relative energy among the computed polymorphs at 799 meV per atom.

abc: 5.3530 5.3530 17.1731
angles: 90.00 90.00 90.00
With the nearest neighbours (Å) after each atom.
Space group I4_1/amd (No. 141, origin choice 2)
Inequivalent atoms, fractional coordinates:
Ba 0.0000 0.2500 0.3750  8 Ta 3.68, 4 Tc 3.79
Ta 0.0000 0.0000 0.0000  2 Tc 2.53, 2 Ta 2.68
Tc 0.0000 0.2500 0.8750  4 Ta 2.53